{
  "formula": "V2NiHIr",
  "functional": "PBE",
  "state": "optimized geometry",
  "cell": [[-2.5960, -2.7107, -0.1936], [2.5397, -2.3247, -1.5066], [0.9850, -1.1934, 3.5017]],
  "species": ["Ir", "V", "V", "Ni", "H"],
  "frac_coords": [[0.0000, 0.0000, 0.5000], [0.0000, 0.5000, 0.0000], [0.5000, 0.0000, 0.0000], [0.5000, 0.5000, 0.5000], [0.0000, 0.0000, 0.0000]],
  "polymorph_energy_kj_per_mol_atoms": 7.6,
  "dos_at_fermi_per_ev_fu": 3.138,
  "total_magnetization_mub_per_fu": 0.0
}